1.
Material: HoSc2UAs4
Method: DFT, PBE
State: optimized geometry

Values from the calculation:
As for the total energy: -7.135 eV/atom. Its formation energy is -961 kJ/mol of formula units.

abc: 6.8857 3.9789 6.9135
angles: 90.00 109.28 90.00
Space group P2/m (No. 10)
Asymmetric unit:
1 Ho 0.0000 0.0000 0.0000 (multiplicity 1)
2 Sc 0.5000 0.0000 0.5000 (multiplicity 1)
3 Sc 0.5000 0.5000 0.0000 (multiplicity 1)
4 U 0.0000 0.5000 0.5000 (multiplicity 1)
5 As 0.2616 0.5000 0.2569 (multiplicity 2)
6 As 0.2633 0.0000 0.7538 (multiplicity 2)

2.
Material: Y3HoSc2As6
Method: DFT, PBE
State: optimized geometry

Values from the calculation:
As for the total energy: -6.854 eV/atom. Its formation energy is -1709 kJ/mol of formula units.

abc: 7.0043 12.1306 6.9965
angles: 90.00 109.50 90.00
Space group C2/m (No. 12)
Asymmetric unit:
1 Y 0.0000 0.0000 0.0000 (multiplicity 2)
2 Y 0.0000 0.3351 0.0000 (multiplicity 4)
3 Ho 0.0000 0.5000 0.5000 (multiplicity 2)
4 Sc 0.0000 0.1673 0.5000 (multiplicity 4)
5 As 0.2387 0.0000 0.7381 (multiplicity 4)
6 As 0.2498 0.1702 0.2603 (multiplicity 8)

3.
Material: Y2HoScAs4
Method: DFT, PBE
State: optimized geometry

Values from the calculation:
As for the total energy: -6.794 eV/atom. Its formation energy is -1150 kJ/mol of formula units.

abc: 7.0310 4.0637 7.0311
angles: 90.00 109.48 90.00
Space group P2/m (No. 10)
Asymmetric unit:
1 Y 0.0000 0.0000 0.0000 (multiplicity 1)
2 Y 0.0000 0.5000 0.5000 (multiplicity 1)
3 Ho 0.5000 0.0000 0.5000 (multiplicity 1)
4 Sc 0.5000 0.5000 0.0000 (multiplicity 1)
5 As 0.2562 0.5000 0.2462 (multiplicity 2)
6 As 0.2607 0.0000 0.7595 (multiplicity 2)

4.
Material: YHoSc2As4
Method: DFT, PBE
State: optimized geometry

Values from the calculation:
As for the total energy: -6.736 eV/atom. Its formation energy is -1118 kJ/mol of formula units.

abc: 6.9133 4.0029 6.9288
angles: 90.00 109.52 90.00
Space group P2/m (No. 10)
Asymmetric unit:
1 Y 0.0000 0.0000 0.0000 (multiplicity 1)
2 Ho 0.0000 0.5000 0.5000 (multiplicity 1)
3 Sc 0.5000 0.0000 0.5000 (multiplicity 1)
4 Sc 0.5000 0.5000 0.0000 (multiplicity 1)
5 As 0.2643 0.0000 0.7539 (multiplicity 2)
6 As 0.2650 0.5000 0.2558 (multiplicity 2)

5.
Material: YHo2ScAs4
Method: DFT, PBE
State: optimized geometry

Values from the calculation:
As for the total energy: -6.551 eV/atom. Its formation energy is -1144 kJ/mol of formula units.

abc: 7.0208 4.0581 7.0218
angles: 90.00 109.47 90.00
Space group P2/m (No. 10)
Asymmetric unit:
1 Y 0.0000 0.0000 0.0000 (multiplicity 1)
2 Ho 0.0000 0.5000 0.5000 (multiplicity 1)
3 Ho 0.5000 0.0000 0.5000 (multiplicity 1)
4 Sc 0.5000 0.5000 0.0000 (multiplicity 1)
5 As 0.2556 0.5000 0.2468 (multiplicity 2)
6 As 0.2594 0.0000 0.7582 (multiplicity 2)

6.
Material: Ho2ZrScAs4
Method: DFT, PBE
State: optimized geometry

Values from the calculation:
As for the total energy: -6.724 eV/atom. Its formation energy is -1076 kJ/mol of formula units.

abc: 6.8826 3.9778 6.8999
angles: 90.00 109.35 90.00
Space group P2/m (No. 10)
Asymmetric unit:
1 Ho 0.0000 0.0000 0.0000 (multiplicity 1)
2 Ho 0.5000 0.5000 0.0000 (multiplicity 1)
3 Zr 0.0000 0.5000 0.5000 (multiplicity 1)
4 Sc 0.5000 0.0000 0.5000 (multiplicity 1)
5 As 0.2465 0.0000 0.7373 (multiplicity 2)
6 As 0.2549 0.5000 0.2637 (multiplicity 2)